Record 1
{"formula": "Mn2CoPdC", "functional": "PBE-GGA", "state": "optimized geometry", "e_form_ev_per_fu": 0.05, "spacegroup": "P4/mmm, No. 123", "dos_at_fermi_per_ev_atom": 0.66, "cell": [[3.950, 0.000, 0.000], [0.000, 3.950, 0.000], [0.000, 0.000, 3.759]], "species": ["Mn", "Mn", "Co", "Pd", "C"], "frac_coords": [[0.000, 0.500, 0.000], [0.500, 0.000, 0.000], [0.000, 0.000, 0.500], [0.500, 0.500, 0.500], [0.000, 0.000, 0.000]]}


Record 2
{"formula": "GaCuAgIr", "functional": "PBE-GGA", "state": "optimized geometry", "e_form_ev_per_fu": -0.10, "spacegroup": "F-43m, No. 216", "dos_at_fermi_per_ev_atom": 0.60, "cell": [[6.169, 0.000, 0.000], [0.000, 6.169, 0.000], [0.000, 0.000, 6.169]], "species": ["Ga", "Ga", "Ga", "Ga", "Cu", "Cu", "Cu", "Cu", "Ag", "Ag", "Ag", "Ag", "Ir", "Ir", "Ir", "Ir"], "frac_coords": [[0.000, 0.000, 0.000], [0.000, 0.500, 0.500], [0.500, 0.000, 0.500], [0.500, 0.500, 0.000], [0.000, 0.000, 0.500], [0.000, 0.500, 0.000], [0.500, 0.000, 0.000], [0.500, 0.500, 0.500], [0.250, 0.250, 0.750], [0.250, 0.750, 0.250], [0.750, 0.250, 0.250], [0.750, 0.750, 0.750], [0.250, 0.250, 0.250], [0.250, 0.750, 0.750], [0.750, 0.250, 0.750], [0.750, 0.750, 0.250]]}